No. 1
Computed, not measured: CoAs2Ir at its PBEsol-relaxed geometry at the SCAN level of DFT. Values from VASP.

Geometry as Quantum ESPRESSO input:
```
&SYSTEM
  ibrav = 0, nat = 4, ntyp = 3
/
ATOMIC_SPECIES
As 74.92 As.upf
Co 58.93 Co.upf
Ir 192.22 Ir.upf
ATOMIC_POSITIONS crystal
As 0.7562 0.7562 0.7314
As 0.2438 0.2438 0.2686
Co 0.5000 0.5000 0.5000
Ir 0.0000 0.0000 0.0000
CELL_PARAMETERS angstrom
-1.7316 -0.0806 -2.3541
-2.2039 -1.9165 -0.1285
-5.8561 4.3475 2.3433
```

Computed properties:
DFT formation energy = 0.11 eV/atom
Energy above the most stable polymorph in this dataset = 0.000 eV/atom

=====

No. 2
Computed, not measured: CoAs4Ir at its PBEsol-relaxed geometry at the SCAN level of DFT. Values from VASP.

Geometry as Quantum ESPRESSO input:
```
&SYSTEM
  ibrav = 0, nat = 6, ntyp = 3
/
ATOMIC_SPECIES
As 74.92 As.upf
Co 58.93 Co.upf
Ir 192.22 Ir.upf
ATOMIC_POSITIONS crystal
As 0.8730 0.3756 0.3756
As 0.3756 0.8730 0.3756
As 0.3756 0.3756 0.8730
As 0.3756 0.3756 0.3756
Co 0.7500 0.7500 0.7500
Ir 0.0000 0.0000 0.0000
CELL_PARAMETERS angstrom
5.2282 0.0000 0.0000
2.6141 4.5278 0.0000
2.6141 1.5093 4.2688
```

Computed properties:
DFT formation energy = 1.04 eV/atom

=====

No. 3
Computed, not measured: Co2AsIr at its PBEsol-relaxed geometry at the SCAN level of DFT. Values from VASP.

Geometry as Quantum ESPRESSO input:
```
&SYSTEM
  ibrav = 0, nat = 4, ntyp = 3
/
ATOMIC_SPECIES
Co 58.93 Co.upf
As 74.92 As.upf
Ir 192.22 Ir.upf
ATOMIC_POSITIONS crystal
Co 0.0000 0.0000 0.2367
Co 0.0000 0.0000 0.7633
As 0.5000 0.5000 0.0000
Ir 0.5000 0.5000 0.5000
CELL_PARAMETERS angstrom
-2.3067 0.8360 1.1160
-0.0447 -0.9587 -2.5187
-1.3137 -7.4318 2.8522
```

Computed properties:
DFT formation energy = 0.41 eV/atom

=====

Number 1: total moment 0.9 μB/f.u.. Number 2: total moment 2.2 μB/f.u.. Number 3: total moment 3.7 μB/f.u..